Record 1
PBE Pr4Nd4Dy3, relaxed; energy relative to the lowest polymorph listed for this composition = 0.000 eV/atom; crystal system = orthorhombic; formation enthalpy at 0 K = 0.1250 eV/atom
1.0
3.625 0.000 -0.668
-0.864 8.334 -4.691
0.354 1.315 12.099
Pr Nd Dy
4 4 3
Direct
0.738 0.238 0.477 Pr
0.262 0.762 0.523 Pr
0.500 0.814 0.000 Pr
0.500 0.186 0.000 Pr
0.642 0.468 0.285 Nd
0.358 0.183 0.715 Nd
0.358 0.532 0.715 Nd
0.642 0.817 0.285 Nd
0.893 0.893 0.786 Dy
0.107 0.107 0.214 Dy
0.000 0.500 0.000 Dy

---

Record 2
PBE AgRu3C, relaxed; energy relative to the lowest polymorph listed for this composition = 0.000 eV/atom; crystal system = cubic; formation enthalpy at 0 K = 0.4482 eV/atom
1.0
-2.740 -2.313 -1.945
-1.629 -1.081 3.580
-2.545 3.181 -0.198
Ru C Ag
3 1 1
Direct
0.000 0.500 0.000 Ru
0.000 0.000 0.500 Ru
0.500 0.000 0.000 Ru
0.000 0.000 0.000 C
0.500 0.500 0.500 Ag

---

Record 3
PBE Hf2RhW, relaxed; energy relative to the lowest polymorph listed for this composition = 0.083 eV/atom; crystal system = cubic; formation enthalpy at 0 K = -0.3843 eV/atom
1.0
-0.966 0.643 -4.505
-3.837 -1.874 -1.847
-3.553 2.731 -1.250
Rh Hf W
1 2 1
Direct
0.000 0.000 0.000 Rh
0.250 0.250 0.250 Hf
0.750 0.750 0.750 Hf
0.500 0.500 0.500 W

---

Record 4
PBE NiSb2Te, relaxed; crystal system = orthorhombic; formation energy from raw total energies = -0.059 eV per atom
1.0
3.847 0.000 0.000
0.000 5.371 -0.013
0.000 2.751 4.615
Ni Sb Te
1 2 1
Direct
0.500 0.750 0.750 Ni
0.000 0.931 0.931 Sb
0.000 0.569 0.569 Sb
0.500 0.250 0.250 Te

---

| no. | M_tot (Bohr magnetons per cell) | VASP energy (eV per cell) |
| --- | --- | --- |
| 1 | 0.0 | -50.62 |
| 2 | 1.4 | -37.66 |
| 3 | 0.0 | -41.75 |
| 4 | 0.0 | -17.40 |